Arrangement w

# SrAcTlIn

An optimized crystal structure of SrAcTlIn (PBE, Alexandria via LeMat-Bulk).

Space-group type: P4mm
V: 34.6 Å³ per atom
Total magnetization: 0.0 μB per formula unit

a = 4.085 Å, b = 4.085 Å, c = 8.292 Å
α = 90.00°, β = 90.00°, γ = 90.00°
Atoms (fractional coordinates):
Sr  0.000  0.000  0.000
Ac  0.000  0.000  0.504
Tl  0.500  0.500  0.247
In  0.500  0.500  0.754

=====

Arrangement x

# SrAcTlIn

An optimized crystal structure of SrAcTlIn (PBE, Alexandria via LeMat-Bulk).

Space-group type: F-43m
V: 34.7 Å³ per atom
Total magnetization: 0.0 μB per formula unit

a = 5.813 Å, b = 5.813 Å, c = 5.813 Å
α = 60.00°, β = 60.00°, γ = 60.00°
Atoms (fractional coordinates):
Sr  0.000  0.000  0.000
Ac  0.500  0.500  0.500
Tl  0.250  0.250  0.250
In  0.750  0.750  0.750

=====

Relative energies, unit kJ/mol of atoms: arrangement w 0.0; arrangement x 0.8